Entry 1:
Compound: Pm8Ir3I4Cl
Source: Alexandria
Functional: PBE
Structure: optimized geometry

As for the calculated volume: 31.33 Å³/atom. For the raw formation energy, the calculation gives -1005 meV per atom.

The structure belongs to space group R-3m (No. 166, hexagonal axes); the cell edges are 8.5067, 8.5067 and 23.9973 Å and the angles 90.00°, 90.00° and 120.00°. The asymmetric unit holds Pm at (0.0000, 0.0000, 0.2274), Pm at (0.0259, 0.5130, 0.7706), Ir at (0.0000, 0.5000, 0.5000), I at (0.0000, 0.0000, 0.0000), I at (0.0000, 0.5000, 0.0000) and Cl at (0.0000, 0.0000, 0.5000).


Entry 2:
Compound: LiS2NCl
Source: Alexandria
Functional: PBE
Structure: optimized geometry

As for the calculated volume: 15.37 Å³/atom. For the raw formation energy, the calculation gives 1399 meV per atom.

The structure belongs to space group P4/mmm (No. 123); the cell edges are 4.6227, 4.6227 and 3.5961 Å and the angles 90.00°, 90.00° and 90.00°. The asymmetric unit holds Li at (0.0000, 0.0000, 0.0000), S at (0.0000, 0.5000, 0.0000), N at (0.0000, 0.0000, 0.5000) and Cl at (0.5000, 0.5000, 0.5000).


Entry 3:
Compound: BaNa2SbS4
Source: Alexandria
Functional: PBE
Structure: optimized geometry

As for the calculated volume: 27.90 Å³/atom. For the raw formation energy, the calculation gives -992 meV per atom.

The structure belongs to space group I-42m (No. 121); the cell edges are 7.3864, 7.3864 and 8.1828 Å and the angles 90.00°, 90.00° and 90.00°. The asymmetric unit holds Ba at (0.0000, 0.0000, 0.0000), Na at (0.0000, 0.5000, 0.2500), Sb at (0.0000, 0.0000, 0.5000) and S at (0.1981, 0.1981, 0.6740).


Entry 4:
Compound: Ac3Sc
Source: Alexandria
Functional: PBE
Structure: optimized geometry

As for the calculated volume: 39.91 Å³/atom. The formation energy comes out at 0.1960 eV/atom.

The structure belongs to space group Fm-3m (No. 225); the cell edges are 8.6116, 8.6116 and 8.6116 Å and the angles 90.00°, 90.00° and 90.00°. The asymmetric unit holds Ac at (0.0000, 0.0000, 0.0000), Ac at (0.2500, 0.2500, 0.2500) and Sc at (0.0000, 0.0000, 0.5000).


Entry 5:
Compound: BeReCl2
Source: Alexandria
Functional: PBE
Structure: optimized geometry

As for the calculated volume: 18.53 Å³/atom. For the raw formation energy, the calculation gives 724 meV per atom.

The structure belongs to space group Cmmm (No. 65); the cell edges are 2.8553, 5.3574 and 9.6884 Å and the angles 90.00°, 90.00° and 90.00°. The asymmetric unit holds Be at (0.0000, 0.0000, 0.0000), Re at (0.0000, 0.0000, 0.5000) and Cl at (0.0000, 0.5000, 0.2995).


Entry 6:
Compound: CeNdSmGd
Source: Alexandria
Functional: PBE
Structure: optimized geometry

As for the calculated volume: 33.65 Å³/atom. The formation energy comes out at 0.1829 eV/atom.

The structure belongs to space group F-43m (No. 216); the cell edges are 8.1354, 8.1354 and 8.1354 Å and the angles 90.00°, 90.00° and 90.00°. The asymmetric unit holds Ce at (0.0000, 0.0000, 0.0000), Nd at (0.2500, 0.2500, 0.7500), Sm at (0.0000, 0.0000, 0.5000) and Gd at (0.2500, 0.2500, 0.2500).


Entry 7:
Compound: K2IrF6
Source: Alexandria
Functional: PBE
Structure: optimized geometry

As for the calculated volume: 19.40 Å³/atom. For the raw formation energy, the calculation gives -2185 meV per atom.

The structure belongs to space group P4_2/mnm (No. 136); the cell edges are 5.5634, 5.5634 and 11.2802 Å and the angles 90.00°, 90.00° and 90.00°. The asymmetric unit holds K at (0.0000, 0.0000, 0.1639), Ir at (0.0000, 0.0000, 0.5000), F at (0.1714, 0.1714, 0.3714) and F at (0.2491, 0.7509, 0.5000).


Entry 8:
Compound: Li2TcHRh
Source: Alexandria
Functional: PBE
Structure: optimized geometry

As for the calculated volume: 11.15 Å³/atom. As for the total energy: -4.90 eV/atom.

The structure belongs to space group P4/mmm (No. 123); the cell edges are 3.6774, 3.6774 and 4.1241 Å and the angles 90.00°, 90.00° and 90.00°. The asymmetric unit holds Li at (0.0000, 0.5000, 0.0000), Tc at (0.0000, 0.0000, 0.5000), H at (0.0000, 0.0000, 0.0000) and Rh at (0.5000, 0.5000, 0.5000).